(1)
The following is a DFT calculation (PBE) of a relaxed structure of NaAlZn.

Values from the calculation:
The formation energy from the elements comes out at 0.09 eV per atom. The value obtained for the excess energy over the best structure of this formula in the dataset is 0.088 eV per atom. Its density of states at the Fermi level is 0.30 states/eV per atom. The raw total energy comes out at -2.020 eV/atom.

abc: 2.9429 2.9429 7.1171
angles: 101.93 101.93 90.00
With the nearest neighbours (Å) after each atom.
Atoms (fractional coordinates):
Zn 0.6814 0.6814 0.3627  4 Al 2.76, 4 Zn 2.94
Na 0.0038 0.0038 0.0077  4 Na 2.94, 4 Zn 3.19
Al 0.3148 0.3148 0.6296  4 Zn 2.76, 4 Al 2.94


(2)
The following is a DFT calculation (PBE) of a relaxed structure of Ag4GeTe3.

Values from the calculation:
The raw total energy comes out at -3.190 eV/atom. The raw formation energy comes out at -0.01 eV/atom.

abc: 7.3352 7.4949 9.0735
angles: 94.48 90.00 119.30
With the nearest neighbours (Å) after each atom.
Atoms (fractional coordinates):
Ag 0.0117 0.7110 0.5683  3 Te 2.84-2.88, 1 Ag 2.97
Ag 0.9035 0.4684 0.2065  2 Te 2.77-2.81, 1 Ag 2.95
Ag 0.0841 0.4584 0.7717  3 Te 2.77-2.87, 1 Ge 2.96, 3 Ag 2.97-3.05
Ag 0.2920 0.2748 0.9518  1 Ge 2.75, 3 Te 2.83-2.94, 3 Ag 2.95-3.05
Ag 0.5649 0.4684 0.7065  2 Te 2.77-2.81, 1 Ag 2.95
Ag 0.3743 0.4584 0.2717  3 Te 2.77-2.87, 1 Ge 2.96, 3 Ag 2.97-3.05
Ag 0.9828 0.2748 0.4519  1 Ge 2.75, 3 Te 2.83-2.94, 3 Ag 2.95-3.05
Ag 0.6993 0.7110 0.0683  3 Te 2.84-2.88, 1 Ag 2.97
Te 0.9462 0.9059 0.8282  1 Ge 2.71, 3 Ag 2.83-2.84
Te 0.5852 0.2673 0.3966  1 Ge 2.71, 3 Ag 2.77-2.93
Te 0.9597 0.9059 0.3282  1 Ge 2.71, 3 Ag 2.83-2.84
Te 0.3693 0.6487 0.5581  5 Ag 2.77-2.94, 1 Ge 2.97
Te 0.2794 0.6487 0.0581  5 Ag 2.77-2.94, 1 Ge 2.97
Te 0.6821 0.2673 0.8966  1 Ge 2.71, 3 Ag 2.77-2.93
Ge 0.3086 0.0452 0.1686  3 Te 2.71-2.97, 2 Ag 2.75-2.96
Ge 0.7366 0.0452 0.6686  3 Te 2.71-2.97, 2 Ag 2.75-2.96


(3)
The following is a DFT calculation (PBE) of a relaxed structure of CoNi2AsH.

Values from the calculation:
Its density of states at the Fermi level is 0.73 states/eV per atom. The raw total energy comes out at -5.412 eV/atom.

abc: 3.6228 3.6228 3.6700
angles: 90.00 90.00 90.00
With the nearest neighbours (Å) after each atom.
Atoms (fractional coordinates):
Ni 0.0000 0.5000 0.0000  2 H 1.81
Ni 0.5000 0.0000 0.0000  2 H 1.81
H 0.0000 0.0000 0.0000  4 Ni 1.81, 2 Co 1.84
Co 0.0000 0.0000 0.5000  2 H 1.84
As 0.5000 0.5000 0.5000  4 Co 2.56, 8 Ni 2.58


(4)
The following is a DFT calculation (PBE) of a relaxed structure of Dy2HoTmBi5.

Values from the calculation:
The formation energy from the elements comes out at 0.04 eV per atom. Its density of states at the Fermi level is 0.65 states/eV per atom. The raw total energy comes out at -4.141 eV/atom.

abc: 5.3978 5.3978 11.7816
angles: 90.00 90.00 90.00
With the nearest neighbours (Å) after each atom.
Atoms (fractional coordinates):
Tm 0.0000 0.0000 0.0000  2 Bi 2.89
Dy 0.5000 0.5000 0.7298  1 Bi 3.18
Dy 0.5000 0.5000 0.2702  1 Bi 3.18
Bi 0.5000 0.5000 0.0000  2 Dy 3.18
Bi 0.5000 0.0000 0.5000  2 Ho 2.70
Bi 0.0000 0.0000 0.2450  1 Tm 2.89, 1 Ho 3.00
Bi 0.0000 0.0000 0.7550  1 Tm 2.89, 1 Ho 3.00
Bi 0.0000 0.5000 0.5000  2 Ho 2.70
Ho 0.0000 0.0000 0.5000  6 Bi 2.70-3.00


(5)
The following is a DFT calculation (PBE) of a relaxed structure of LiSb2Ir2.

Values from the calculation:
The value obtained for the excess energy over the best structure of this formula in the dataset is 0.073 eV per atom. Its density of states at the Fermi level is 0.88 states/eV per atom. The raw total energy comes out at -5.638 eV/atom. The raw formation energy comes out at -0.06 eV/atom.

abc: 7.6397 7.6397 3.2517
angles: 90.00 90.00 90.00
With the nearest neighbours (Å) after each atom.
Atoms (fractional coordinates):
Sb 0.6624 0.8376 0.5000  6 Ir 2.73-2.80
Sb 0.3376 0.1624 0.5000  6 Ir 2.73-2.80
Sb 0.1624 0.6624 0.5000  6 Ir 2.73-2.80
Sb 0.8376 0.3376 0.5000  6 Ir 2.73-2.80
Li 0.5000 0.5000 0.0000  4 Ir 2.98, 2 Li 3.25, 8 Sb 3.29
Li 0.0000 0.0000 0.0000  4 Ir 2.98, 2 Li 3.25, 8 Sb 3.29
Ir 0.8658 0.6342 0.0000  6 Sb 2.73-2.80, 1 Ir 2.90, 2 Li 2.98
Ir 0.1342 0.3658 0.0000  6 Sb 2.73-2.80, 1 Ir 2.90, 2 Li 2.98
Ir 0.6342 0.1342 0.0000  6 Sb 2.73-2.80, 1 Ir 2.90, 2 Li 2.98
Ir 0.3658 0.8658 0.0000  6 Sb 2.73-2.80, 1 Ir 2.90, 2 Li 2.98


(6)
The following is a DFT calculation (PBE) of a relaxed structure of V2HRuI.

Values from the calculation:
Its density of states at the Fermi level is 1.32 states/eV per atom. The raw total energy comes out at -5.021 eV/atom.

abc: 4.9900 3.3646 4.9900
angles: 90.00 90.00 90.00
With the nearest neighbours (Å) after each atom.
Atoms (fractional coordinates):
V 0.0000 0.0000 0.5000  2 I 2.49
V 0.5000 0.0000 0.0000  2 I 2.49
I 0.0000 0.0000 0.0000  2 H 1.68
H 0.0000 0.5000 0.0000  2 I 1.68
Ru 0.5000 0.5000 0.5000  8 V 3.01, 2 Ru 3.36


(7)
The following is a DFT calculation (PBE) of a relaxed structure of Pr2TmMg.

Values from the calculation:
The formation energy from the elements comes out at 0.09 eV per atom. The value obtained for the excess energy over the best structure of this formula in the dataset is 0.118 eV per atom. Its density of states at the Fermi level is 1.52 states/eV per atom. The raw total energy comes out at -3.816 eV/atom.

abc: 3.5946 3.4929 10.4333
angles: 99.64 90.00 90.00
With the nearest neighbours (Å) after each atom.
Atoms (fractional coordinates):
Mg 0.0000 0.0712 0.1424  8 Pr 3.44-3.47, 4 Mg 3.49-3.59
Pr 0.5000 0.6878 0.3755  4 Mg 3.47, 4 Pr 3.49-3.59, 4 Tm 3.55
Pr 0.5000 0.4566 0.9132  4 Mg 3.44, 4 Pr 3.49-3.59, 2 Tm 3.51
Tm 0.0000 0.3099 0.6198  4 Tm 3.49-3.59, 6 Pr 3.51-3.55


(8)
The following is a DFT calculation (PBE) of a relaxed structure of BiAs2.

Values from the calculation:
The formation energy from the elements comes out at 0.25 eV per atom. Its density of states at the Fermi level is 0.32 states/eV per atom. The raw total energy comes out at -4.143 eV/atom.

abc: 4.0009 4.0009 6.0852
angles: 109.81 109.81 90.02
With the nearest neighbours (Å) after each atom.
Atoms (fractional coordinates):
As 0.8804 0.8804 0.7682  1 As 2.48
As 0.1196 0.1196 0.2318  1 As 2.48
Bi 0.5000 0.5000 0.0000  8 As 3.09


no.,calculated volume (A^3/atom)
1,19.649
2,27.079
3,9.634
4,38.141
5,18.978
6,16.755
7,32.287
8,28.495